VASP calculation (PBE-GGA) on an optimized crystal structure of PmTm2Ge2.

a = 9.4587 Å, b = 9.4587 Å, c = 6.2508 Å
α = 90.00°, β = 90.00°, γ = 152.80°
Fractional positions:
Pm1 0.1145 0.8855 0.5000
Pm2 0.8855 0.1145 0.0000
Tm1 0.3158 0.6842 0.4748
Tm2 0.4927 0.5073 0.7407
Tm3 0.5073 0.4927 0.2407
Tm4 0.6842 0.3158 0.9748
Ge1 0.0697 0.9303 0.9876
Ge2 0.2903 0.7097 0.9515
Ge3 0.7097 0.2903 0.4515
Ge4 0.9303 0.0697 0.4876

Results
SG ... No. 36
DFT total energy ... -5.244 eV per atom



VASP calculation (PBE-GGA) on an optimized crystal structure of PmTmGe2.

a = 3.3751 Å, b = 3.3751 Å, c = 8.0776 Å
α = 90.00°, β = 90.00°, γ = 90.00°
Fractional positions:
Pm1 0.0000 0.0000 0.0000
Tm1 0.0000 0.0000 0.5000
Ge1 0.5000 0.5000 0.2598
Ge2 0.5000 0.5000 0.7402

Results
SG ... No. 123
DFT total energy ... -5.236 eV per atom



VASP calculation (PBE-GGA) on an optimized crystal structure of Pm3TmGe4.

a = 5.9647 Å, b = 11.9836 Å, c = 5.9639 Å
α = 90.00°, β = 90.00°, γ = 90.00°
Fractional positions:
Pm1 0.2500 0.0000 0.2493
Pm2 0.2500 0.2500 0.7468
Pm3 0.2500 0.5000 0.2493
Pm4 0.7500 0.0000 0.7507
Pm5 0.7500 0.5000 0.7507
Pm6 0.7500 0.7500 0.2532
Tm1 0.2500 0.7500 0.7525
Tm2 0.7500 0.2500 0.2475
Ge1 0.2500 0.2500 0.2467
Ge2 0.2500 0.5048 0.7491
Ge3 0.2500 0.7500 0.2526
Ge4 0.2500 0.9952 0.7491
Ge5 0.7500 0.0048 0.2509
Ge6 0.7500 0.2500 0.7474
Ge7 0.7500 0.4952 0.2509
Ge8 0.7500 0.7500 0.7533

Results
SG ... No. 59
DFT total energy ... -5.277 eV per atom